No. 1
A relaxed AsBrCl2 crystal. Source: Alexandria, functional PBE.

The space group is Cmmm (No. 65) and the conventional cell measures 3.325, 6.257 and 11.331 Å, with angles of 90.00, 90.00 and 90.00 degrees. The asymmetric unit holds As at (0.000, 0.000, 0.000), Br at (0.000, 0.000, 0.500) and Cl at (0.000, 0.500, 0.163).

Its total magnetic moment is 0.352 μB per cell. As for the distance to the lowest polymorph of the same formula: 2.44 eV/f.u. The calculation puts the uncorrected formation energy at -0.009 eV/atom.

No. 2
A relaxed SrTc2Ag crystal. Source: Alexandria, functional PBE.

The space group is Pmm2 (No. 25) and the conventional cell measures 3.146, 3.162 and 8.092 Å, with angles of 90.00, 90.00 and 90.00 degrees. The asymmetric unit holds Sr at (0.000, 0.000, 0.000), Tc at (0.000, 0.000, 0.453), Tc at (0.500, 0.500, 0.299) and Ag at (0.500, 0.500, 0.691).

Its total magnetic moment is 0.000 μB per cell. As for the distance to the lowest polymorph of the same formula: 0.00 eV/f.u. For the energy of formation, the calculation gives 0.3429 eV per atom.

No. 3
A relaxed AlTcNi6 crystal. Source: Alexandria, functional PBE.

The space group is Cmmm (No. 65) and the conventional cell measures 7.182, 10.158 and 10.155 Å, with angles of 90.00, 90.00 and 90.00 degrees. The asymmetric unit holds Al at (0.000, 0.000, 0.247), Al at (0.000, 0.251, 0.000), Tc at (0.000, 0.251, 0.500), Tc at (0.000, 0.500, 0.246), Ni at (0.000, 0.000, 0.000), Ni at (0.000, 0.000, 0.500), Ni at (0.000, 0.251, 0.251), Ni at (0.000, 0.500, 0.000), Ni at (0.000, 0.500, 0.500), Ni at (0.250, 0.124, 0.125) and Ni at (0.250, 0.125, 0.374).

Its total magnetic moment is 14.480 μB per cell. As for the distance to the lowest polymorph of the same formula: 0.02 eV/f.u. For the energy of formation, the calculation gives -0.1823 eV per atom.

No. 4
A relaxed FeSi2Ir crystal. Source: Alexandria, functional PBE.

The space group is I-4m2 (No. 119) and the conventional cell measures 3.523, 3.523 and 8.077 Å, with angles of 90.00, 90.00 and 90.00 degrees. The asymmetric unit holds Fe at (0.000, 0.000, 0.000), Si at (0.000, 0.000, 0.500), Si at (0.000, 0.500, 0.250) and Ir at (0.000, 0.500, 0.750).

Its total magnetic moment is 2.871 μB per cell. The calculation puts the uncorrected formation energy at -0.231 eV/atom.

No. 5
A relaxed KNaThF6 crystal. Source: Alexandria, functional PBE.

The space group is P4_2nm (No. 102) and the conventional cell measures 5.573, 5.573 and 11.373 Å, with angles of 90.00, 90.00 and 90.00 degrees. The asymmetric unit holds K at (0.000, 0.000, 0.000), Na at (0.000, 0.000, 0.328), Th at (0.000, 0.000, 0.665), F at (0.174, 0.174, 0.509), F at (0.200, 0.200, 0.806) and F at (0.215, 0.215, 0.178).

Its total magnetic moment is 0.000 μB per cell. As for the distance to the lowest polymorph of the same formula: 0.54 eV/f.u. The calculation puts the uncorrected formation energy at -3.544 eV/atom.

No. 6
A relaxed Ba3Tl2Hg5Sb2 crystal. Source: Alexandria, functional PBE.

The space group is I4/mmm (No. 139) and the conventional cell measures 5.010, 5.010 and 37.128 Å, with angles of 90.00, 90.00 and 90.00 degrees. The asymmetric unit holds Ba at (0.000, 0.000, 0.000), Ba at (0.000, 0.000, 0.203), Tl at (0.000, 0.000, 0.376), Hg at (0.000, 0.000, 0.500), Hg at (0.000, 0.500, 0.069) and Sb at (0.000, 0.000, 0.298).

Its total magnetic moment is 0.000 μB per cell. The calculation puts the uncorrected formation energy at -0.389 eV/atom.

No. 7
A relaxed MgPa2Ru crystal. Source: Alexandria, functional PBE.

The space group is R-3m (No. 166, hexagonal axes) and the conventional cell measures 3.6620, 3.6620 and 26.0176 Å, with angles of 90.00, 90.00 and 120.00 degrees. The asymmetric unit holds Mg at (0.0000, 0.0000, 0.0000), Pa at (0.0000, 0.0000, 0.2334) and Ru at (0.0000, 0.0000, 0.5000).

Its total magnetic moment is 0.007 μB per cell. For the energy of formation, the calculation gives 0.0738 eV per atom.

No. 8
A relaxed LiMg3Pb2 crystal. Source: Alexandria, functional PBE.

The space group is Ibam (No. 72) and the conventional cell measures 7.032, 14.436 and 6.652 Å, with angles of 90.00, 90.00 and 90.00 degrees. The asymmetric unit holds Li at (0.000, 0.000, 0.000), Mg at (0.000, 0.234, 0.250), Mg at (0.000, 0.500, 0.250) and Pb at (0.219, 0.368, 0.000).

Its total magnetic moment is 0.000 μB per cell. As for the distance to the lowest polymorph of the same formula: 0.52 eV/f.u. For the energy of formation, the calculation gives -0.0257 eV per atom.